Version w
# Pm7Pr3Dy

A geometry-optimized Pm7Pr3Dy structure (GGA-PBE, Alexandria via LeMat-Bulk).

## Properties
D(E_F)	17.22	states/eV per cell

CIF file:
```
data_Pm7Pr3Dy
_cell_length_a 6.631
_cell_length_b 6.863
_cell_length_c 8.838
_cell_angle_alpha 100.17
_cell_angle_beta 98.64
_cell_angle_gamma 96.22
_symmetry_space_group_name_H-M 'P -1'
_symmetry_Int_Tables_number 2
loop_
_symmetry_equiv_pos_as_xyz
'x,y,z'
'-x,-y,-z'
loop_
_atom_site_label
_atom_site_type_symbol
_atom_site_fract_x
_atom_site_fract_y
_atom_site_fract_z
Pm1 Pm 0.000 0.000 0.000
Pm2 Pm 0.065 0.714 0.645
Pm3 Pm 0.208 0.230 0.710
Pm4 Pm 0.486 0.730 0.922
Pr1 Pr 0.318 0.937 0.329
Pr2 Pr 0.500 0.500 0.500
Dy1 Dy 0.000 0.500 0.000
```

Version x
# Pm7Pr3Dy

A geometry-optimized Pm7Pr3Dy structure (GGA-PBE, Alexandria via LeMat-Bulk).

## Properties
D(E_F)	16.69	states/eV per cell

CIF file:
```
data_Pm7Pr3Dy
_cell_length_a 7.2385
_cell_length_b 7.2385
_cell_length_c 8.8294
_cell_angle_alpha 90.00
_cell_angle_beta 90.00
_cell_angle_gamma 120.00
_symmetry_space_group_name_H-M 'P 3 m 1'
_symmetry_Int_Tables_number 156
loop_
_symmetry_equiv_pos_as_xyz
'x,y,z'
'-y,x-y,z'
'-x+y,-x,z'
'-y,-x,z'
'-x+y,y,z'
'x,x-y,z'
loop_
_atom_site_label
_atom_site_type_symbol
_atom_site_fract_x
_atom_site_fract_y
_atom_site_fract_z
Pm1 Pm 0.0000 0.0000 0.0000
Pm2 Pm 0.0011 0.5005 0.0060
Pm3 Pm 0.3327 0.1663 0.6742
Pr1 Pr 0.1670 0.3340 0.3413
Dy1 Dy 0.3333 0.6667 0.6812
```

Q: Which of them is the most stable? A: version w.

Version w
# PmPr4Dy7

A geometry-optimized PmPr4Dy7 structure (GGA-PBE, Alexandria via LeMat-Bulk).

## Properties
D(E_F)	19.09	states/eV per cell

CIF file:
```
data_PmPr4Dy7
_cell_length_a 6.611
_cell_length_b 6.905
_cell_length_c 9.161
_cell_angle_alpha 84.86
_cell_angle_beta 77.14
_cell_angle_gamma 81.85
_symmetry_space_group_name_H-M 'P -1'
_symmetry_Int_Tables_number 2
loop_
_symmetry_equiv_pos_as_xyz
'x,y,z'
'-x,-y,-z'
loop_
_atom_site_label
_atom_site_type_symbol
_atom_site_fract_x
_atom_site_fract_y
_atom_site_fract_z
Pm1 Pm 0.000 0.000 0.000
Pr1 Pr 0.166 0.611 0.309
Pr2 Pr 0.360 0.193 0.715
Dy1 Dy 0.000 0.500 0.000
Dy2 Dy 0.188 0.103 0.384
Dy3 Dy 0.318 0.700 0.642
Dy4 Dy 0.487 0.249 0.050
```

Version x
# PmPr4Dy7

A geometry-optimized PmPr4Dy7 structure (GGA-PBE, Alexandria via LeMat-Bulk).

## Properties
D(E_F)	39.34	states/eV per cell

CIF file:
```
data_PmPr4Dy7
_cell_length_a 12.179
_cell_length_b 5.960
_cell_length_c 12.900
_cell_angle_alpha 90.00
_cell_angle_beta 117.92
_cell_angle_gamma 90.00
_symmetry_space_group_name_H-M 'C 1 2/m 1'
_symmetry_Int_Tables_number 12
loop_
_symmetry_equiv_pos_as_xyz
'x,y,z'
'-x,-y,-z'
'-x,y,-z'
'x,-y,z'
'x+1/2,y+1/2,z'
'-x+1/2,-y+1/2,-z'
'-x+1/2,y+1/2,-z'
'x+1/2,-y+1/2,z'
loop_
_atom_site_label
_atom_site_type_symbol
_atom_site_fract_x
_atom_site_fract_y
_atom_site_fract_z
Pm1 Pm 0.000 0.000 0.000
Pr1 Pr 0.136 0.500 0.777
Pr2 Pr 0.226 0.000 0.668
Dy1 Dy 0.000 0.500 0.000
Dy2 Dy 0.069 0.000 0.315
Dy3 Dy 0.132 0.500 0.496
Dy4 Dy 0.211 0.000 0.923
```

Q: Which of them is the most stable? A: version w.

Version w
# Pm2PrDy8

A geometry-optimized Pm2PrDy8 structure (GGA-PBE, Alexandria via LeMat-Bulk).

## Properties
D(E_F)	35.64	states/eV per cell

CIF file:
```
data_Pm2PrDy8
_cell_length_a 19.086
_cell_length_b 7.025
_cell_length_c 5.569
_cell_angle_alpha 90.00
_cell_angle_beta 92.90
_cell_angle_gamma 90.00
_symmetry_space_group_name_H-M 'C 1 2/m 1'
_symmetry_Int_Tables_number 12
loop_
_symmetry_equiv_pos_as_xyz
'x,y,z'
'-x,-y,-z'
'-x,y,-z'
'x,-y,z'
'x+1/2,y+1/2,z'
'-x+1/2,-y+1/2,-z'
'-x+1/2,y+1/2,-z'
'x+1/2,-y+1/2,z'
loop_
_atom_site_label
_atom_site_type_symbol
_atom_site_fract_x
_atom_site_fract_y
_atom_site_fract_z
Pm1 Pm 0.216 0.000 0.252
Pr1 Pr 0.000 0.500 0.000
Dy1 Dy 0.046 0.000 0.238
Dy2 Dy 0.131 0.233 0.733
Dy3 Dy 0.187 0.500 0.233
```

Version x
# Pm2PrDy8

A geometry-optimized Pm2PrDy8 structure (GGA-PBE, Alexandria via LeMat-Bulk).

## Properties
D(E_F)	29.58	states/eV per cell

CIF file:
```
data_Pm2PrDy8
_cell_length_a 5.539
_cell_length_b 8.142
_cell_length_c 16.082
_cell_angle_alpha 90.00
_cell_angle_beta 90.00
_cell_angle_gamma 90.00
_symmetry_space_group_name_H-M 'I m m m'
_symmetry_Int_Tables_number 71
_symmetry_space_group_name_Hall '-I 2 2'
loop_
_atom_site_label
_atom_site_type_symbol
_atom_site_fract_x
_atom_site_fract_y
_atom_site_fract_z
Pm1 Pm 0.000 0.000 0.200
Pr1 Pr 0.000 0.000 0.500
Dy1 Dy 0.000 0.206 0.000
Dy2 Dy 0.000 0.293 0.361
Dy3 Dy 0.000 0.500 0.162
```

Q: Which of them is the most stable? A: version x.

Version w
# Pm2Pr5Dy2

A geometry-optimized Pm2Pr5Dy2 structure (GGA-PBE, Alexandria via LeMat-Bulk).

## Properties
D(E_F)	28.50	states/eV per cell

CIF file:
```
data_Pm2Pr5Dy2
_cell_length_a 11.610
_cell_length_b 5.181
_cell_length_c 10.980
_cell_angle_alpha 90.00
_cell_angle_beta 108.60
_cell_angle_gamma 90.00
_symmetry_space_group_name_H-M 'C 1 2/m 1'
_symmetry_Int_Tables_number 12
loop_
_symmetry_equiv_pos_as_xyz
'x,y,z'
'-x,-y,-z'
'-x,y,-z'
'x,-y,z'
'x+1/2,y+1/2,z'
'-x+1/2,-y+1/2,-z'
'-x+1/2,y+1/2,-z'
'x+1/2,-y+1/2,z'
loop_
_atom_site_label
_atom_site_type_symbol
_atom_site_fract_x
_atom_site_fract_y
_atom_site_fract_z
Pm1 Pm 0.000 0.000 0.168
Pr1 Pr 0.000 0.000 0.500
Pr2 Pr 0.166 0.500 0.388
Pr3 Pr 0.167 0.500 0.055
Dy1 Dy 0.167 0.500 0.723
```

Version x
# Pm2Pr5Dy2

A geometry-optimized Pm2Pr5Dy2 structure (GGA-PBE, Alexandria via LeMat-Bulk).

## Properties
D(E_F)	52.62	states/eV per cell

CIF file:
```
data_Pm2Pr5Dy2
_cell_length_a 15.126
_cell_length_b 11.987
_cell_length_c 6.948
_cell_angle_alpha 90.00
_cell_angle_beta 90.00
_cell_angle_gamma 90.00
_symmetry_space_group_name_H-M 'I m a 2'
_symmetry_Int_Tables_number 46
loop_
_symmetry_equiv_pos_as_xyz
'x,y,z'
'-x,-y,z'
'-x+1/2,y,z'
'x+1/2,-y,z'
'x+1/2,y+1/2,z+1/2'
'-x+1/2,-y+1/2,z+1/2'
'-x,y+1/2,z+1/2'
'x,-y+1/2,z+1/2'
loop_
_atom_site_label
_atom_site_type_symbol
_atom_site_fract_x
_atom_site_fract_y
_atom_site_fract_z
Pm1 Pm 0.127 0.004 0.000
Pr1 Pr 0.053 0.744 0.660
Pr2 Pr 0.143 0.233 0.324
Pr3 Pr 0.250 0.745 0.355
Dy1 Dy 0.000 0.000 0.488
Dy2 Dy 0.250 0.008 0.548
```

Q: Which of them is the most stable? A: version w.